No. 1
# Sc2TlAg PBE-GGA optimized geometry
# Energy (eV/cell): -37.187
# Mass density (g/cm³): 7.5
# Fermi-level density of states (states/eV/cell): 8.5
data_Sc2TlAg
_symmetry_space_group_name_H-M 'C 1 m 1'
_symmetry_Int_Tables_number 8
_cell_length_a 11.4295
_cell_length_b 3.5196
_cell_length_c 4.8620
_cell_angle_alpha 90.00
_cell_angle_beta 114.80
_cell_angle_gamma 90.00
loop_
_symmetry_equiv_pos_as_xyz
'x,y,z'
'x,-y,z'
'x+1/2,y+1/2,z'
'x+1/2,-y+1/2,z'
loop_
_atom_site_label
_atom_site_type_symbol
_atom_site_fract_x
_atom_site_fract_y
_atom_site_fract_z
Sc1 Sc 0.0000 0.0000 0.0000
Sc2 Sc 0.2322 0.0000 0.7297
Tl1 Tl 0.2680 0.5000 0.2648
Ag1 Ag 0.4983 0.0000 0.4993

---

No. 2
# Sc2TlAg PBE-GGA optimized geometry
# Energy (eV/cell): -54.503
# Mass density (g/cm³): 7.2
# Fermi-level density of states (states/eV/cell): 13.5
data_Sc2TlAg
_symmetry_space_group_name_H-M 'R 3 m'
_symmetry_Int_Tables_number 160
_symmetry_space_group_name_Hall 'R 3 -2"'
_cell_length_a 3.4054
_cell_length_b 3.4054
_cell_length_c 27.8327
_cell_angle_alpha 90.00
_cell_angle_beta 90.00
_cell_angle_gamma 120.00
loop_
_atom_site_label
_atom_site_type_symbol
_atom_site_fract_x
_atom_site_fract_y
_atom_site_fract_z
Sc1 Sc 0.0000 0.0000 0.0000
Sc2 Sc 0.0000 0.0000 0.1787
Tl1 Tl 0.0000 0.0000 0.7561
Ag1 Ag 0.0000 0.0000 0.5888

---

No. 3
# Sc3Tl2Ag2 PBE-GGA optimized geometry
# Energy (eV/cell): -61.333
# Mass density (g/cm³): 8.2
# Fermi-level density of states (states/eV/cell): 10.8
data_Sc3Tl2Ag2
_symmetry_space_group_name_H-M 'C 1 2/m 1'
_symmetry_Int_Tables_number 12
_cell_length_a 8.4468
_cell_length_b 5.0234
_cell_length_c 8.0002
_cell_angle_alpha 90.00
_cell_angle_beta 115.62
_cell_angle_gamma 90.00
loop_
_symmetry_equiv_pos_as_xyz
'x,y,z'
'-x,-y,-z'
'-x,y,-z'
'x,-y,z'
'x+1/2,y+1/2,z'
'-x+1/2,-y+1/2,-z'
'-x+1/2,y+1/2,-z'
'x+1/2,-y+1/2,z'
loop_
_atom_site_label
_atom_site_type_symbol
_atom_site_fract_x
_atom_site_fract_y
_atom_site_fract_z
Sc1 Sc 0.0000 0.0000 0.0000
Sc2 Sc 0.0545 0.5000 0.7164
Tl1 Tl 0.2383 0.5000 0.1699
Ag1 Ag 0.1534 0.0000 0.4149

---

No. 4
# Sc2TlAg2 PBE-GGA optimized geometry
# Energy (eV/cell): -40.802
# Mass density (g/cm³): 7.0
# Fermi-level density of states (states/eV/cell): 6.5
data_Sc2TlAg2
_symmetry_space_group_name_H-M 'I 4/m m m'
_symmetry_Int_Tables_number 139
_symmetry_space_group_name_Hall '-I 4 2'
_cell_length_a 4.6388
_cell_length_b 4.6388
_cell_length_c 11.2962
_cell_angle_alpha 90.00
_cell_angle_beta 90.00
_cell_angle_gamma 90.00
loop_
_atom_site_label
_atom_site_type_symbol
_atom_site_fract_x
_atom_site_fract_y
_atom_site_fract_z
Sc1 Sc 0.0000 0.5000 0.2500
Tl1 Tl 0.0000 0.0000 0.0000
Ag1 Ag 0.0000 0.0000 0.3850

---

No. 5
# Sc2TlAg PBE-GGA optimized geometry
# Energy (eV/cell): -52.080
# Mass density (g/cm³): 6.7
# Fermi-level density of states (states/eV/cell): 13.8
data_Sc2TlAg
_symmetry_space_group_name_H-M 'R -3 m'
_symmetry_Int_Tables_number 166
_symmetry_space_group_name_Hall '-R 3 2"'
_cell_length_a 3.2820
_cell_length_b 3.2820
_cell_length_c 32.0195
_cell_angle_alpha 90.00
_cell_angle_beta 90.00
_cell_angle_gamma 120.00
loop_
_atom_site_label
_atom_site_type_symbol
_atom_site_fract_x
_atom_site_fract_y
_atom_site_fract_z
Sc1 Sc 0.0000 0.0000 0.0951
Tl1 Tl 0.0000 0.0000 0.0000
Ag1 Ag 0.0000 0.0000 0.5000

---

No. 6
# Sc3TlAg PBE-GGA optimized geometry
# Energy (eV/cell): -101.130
# Mass density (g/cm³): 6.6
# Fermi-level density of states (states/eV/cell): 18.8
data_Sc3TlAg
_symmetry_space_group_name_H-M 'C m c m'
_symmetry_Int_Tables_number 63
_symmetry_space_group_name_Hall '-C 2c 2'
_cell_length_a 4.9334
_cell_length_b 18.4924
_cell_length_c 4.9332
_cell_angle_alpha 90.00
_cell_angle_beta 90.00
_cell_angle_gamma 90.00
loop_
_atom_site_label
_atom_site_type_symbol
_atom_site_fract_x
_atom_site_fract_y
_atom_site_fract_z
Sc1 Sc 0.0000 0.0563 0.2500
Sc2 Sc 0.0000 0.2497 0.2500
Sc3 Sc 0.0000 0.4428 0.2500
Tl1 Tl 0.0000 0.1530 0.7500
Ag1 Ag 0.0000 0.3496 0.7500

---

No. 7
# Sc2TlAg2 PBE-GGA optimized geometry
# Energy (eV/cell): -43.714
# Mass density (g/cm³): 8.0
# Fermi-level density of states (states/eV/cell): 6.2
data_Sc2TlAg2
_symmetry_space_group_name_H-M 'P 4/m b m'
_symmetry_Int_Tables_number 127
_symmetry_space_group_name_Hall '-P 4 2ab'
_cell_length_a 7.8174
_cell_length_b 7.8174
_cell_length_c 3.4820
_cell_angle_alpha 90.00
_cell_angle_beta 90.00
_cell_angle_gamma 90.00
loop_
_atom_site_label
_atom_site_type_symbol
_atom_site_fract_x
_atom_site_fract_y
_atom_site_fract_z
Sc1 Sc 0.1670 0.3330 0.0000
Tl1 Tl 0.0000 0.0000 0.5000
Ag1 Ag 0.1276 0.6276 0.5000

---

No. 8
# Sc4TlAg3 PBE-GGA optimized geometry
# Energy (eV/cell): -115.389
# Mass density (g/cm³): 7.0
# Fermi-level density of states (states/eV/cell): 23.0
data_Sc4TlAg3
_symmetry_space_group_name_H-M 'R -3 m'
_symmetry_Int_Tables_number 166
_symmetry_space_group_name_Hall '-R 3 2"'
_cell_length_a 4.9118
_cell_length_b 4.9118
_cell_length_c 24.1691
_cell_angle_alpha 90.00
_cell_angle_beta 90.00
_cell_angle_gamma 120.00
loop_
_atom_site_label
_atom_site_type_symbol
_atom_site_fract_x
_atom_site_fract_y
_atom_site_fract_z
Sc1 Sc 0.0000 0.0000 0.1216
Sc2 Sc 0.0000 0.0000 0.3722
Tl1 Tl 0.0000 0.0000 0.5000
Ag1 Ag 0.0000 0.0000 0.0000
Ag2 Ag 0.0000 0.0000 0.2505

---

No. 9
# Sc5Tl2Ag2 PBE-GGA optimized geometry
# Energy (eV/cell): -174.700
# Mass density (g/cm³): 6.7
# Fermi-level density of states (states/eV/cell): 38.8
data_Sc5Tl2Ag2
_symmetry_space_group_name_H-M 'C m c e'
_symmetry_Int_Tables_number 64
_symmetry_space_group_name_Hall '-C 2ac 2'
_cell_length_a 14.7494
_cell_length_b 8.2410
_cell_length_c 6.9174
_cell_angle_alpha 90.00
_cell_angle_beta 90.00
_cell_angle_gamma 90.00
loop_
_atom_site_label
_atom_site_type_symbol
_atom_site_fract_x
_atom_site_fract_y
_atom_site_fract_z
Sc1 Sc 0.0000 0.0000 0.0000
Sc2 Sc 0.1310 0.1845 0.3420
Tl1 Tl 0.2108 0.0000 0.0000
Ag1 Ag 0.0000 0.1296 0.6295

---

No. 10
# Sc5Tl4Ag PBE-GGA optimized geometry
# Energy (eV/cell): -46.712
# Mass density (g/cm³): 8.4
# Fermi-level density of states (states/eV/cell): 6.1
data_Sc5Tl4Ag
_symmetry_space_group_name_H-M 'P 4/m m m'
_symmetry_Int_Tables_number 123
_symmetry_space_group_name_Hall '-P 4 2'
_cell_length_a 3.4203
_cell_length_b 3.4203
_cell_length_c 19.4628
_cell_angle_alpha 90.00
_cell_angle_beta 90.00
_cell_angle_gamma 90.00
loop_
_atom_site_label
_atom_site_type_symbol
_atom_site_fract_x
_atom_site_fract_y
_atom_site_fract_z
Sc1 Sc 0.0000 0.0000 0.0000
Sc2 Sc 0.0000 0.0000 0.2072
Sc3 Sc 0.0000 0.0000 0.4118
Tl1 Tl 0.5000 0.5000 0.1037
Tl2 Tl 0.5000 0.5000 0.3106
Ag1 Ag 0.5000 0.5000 0.5000

---

No. 11
# Sc2TlAg PBE-GGA optimized geometry
# Energy (eV/cell): -36.643
# Mass density (g/cm³): 7.2
# Fermi-level density of states (states/eV/cell): 8.3
data_Sc2TlAg
_symmetry_space_group_name_H-M 'C 1 2/m 1'
_symmetry_Int_Tables_number 12
_cell_length_a 9.4026
_cell_length_b 3.4292
_cell_length_c 5.9084
_cell_angle_alpha 90.00
_cell_angle_beta 102.77
_cell_angle_gamma 90.00
loop_
_symmetry_equiv_pos_as_xyz
'x,y,z'
'-x,-y,-z'
'-x,y,-z'
'x,-y,z'
'x+1/2,y+1/2,z'
'-x+1/2,-y+1/2,-z'
'-x+1/2,y+1/2,-z'
'x+1/2,-y+1/2,z'
loop_
_atom_site_label
_atom_site_type_symbol
_atom_site_fract_x
_atom_site_fract_y
_atom_site_fract_z
Sc1 Sc 0.2444 0.0000 0.2400
Tl1 Tl 0.0000 0.0000 0.5000
Ag1 Ag 0.0000 0.5000 0.0000

---

No. 12
# Sc8TlAg2 PBE-GGA optimized geometry
# Energy (eV/cell): -118.278
# Mass density (g/cm³): 5.0
# Fermi-level density of states (states/eV/cell): 31.7
data_Sc8TlAg2
_symmetry_space_group_name_H-M 'C 1 2/m 1'
_symmetry_Int_Tables_number 12
_cell_length_a 8.1292
_cell_length_b 13.6209
_cell_length_c 5.0111
_cell_angle_alpha 90.00
_cell_angle_beta 110.94
_cell_angle_gamma 90.00
loop_
_symmetry_equiv_pos_as_xyz
'x,y,z'
'-x,-y,-z'
'-x,y,-z'
'x,-y,z'
'x+1/2,y+1/2,z'
'-x+1/2,-y+1/2,-z'
'-x+1/2,y+1/2,-z'
'x+1/2,-y+1/2,z'
loop_
_atom_site_label
_atom_site_type_symbol
_atom_site_fract_x
_atom_site_fract_y
_atom_site_fract_z
Sc1 Sc 0.0000 0.2246 0.0000
Sc2 Sc 0.0969 0.5000 0.7997
Sc3 Sc 0.2115 0.1139 0.6105
Tl1 Tl 0.0000 0.0000 0.0000
Ag1 Ag 0.0000 0.3032 0.5000

---

No. 13
# Sc2TlAg3 PBE-GGA optimized geometry
# Energy (eV/cell): -48.793
# Mass density (g/cm³): 8.4
# Fermi-level density of states (states/eV/cell): 9.8
data_Sc2TlAg3
_symmetry_space_group_name_H-M 'P -1'
_symmetry_Int_Tables_number 2
_cell_length_a 4.3643
_cell_length_b 6.7072
_cell_length_c 9.4060
_cell_angle_alpha 98.74
_cell_angle_beta 103.35
_cell_angle_gamma 108.95
loop_
_symmetry_equiv_pos_as_xyz
'x,y,z'
'-x,-y,-z'
loop_
_atom_site_label
_atom_site_type_symbol
_atom_site_fract_x
_atom_site_fract_y
_atom_site_fract_z
Sc1 Sc 0.1504 0.4320 0.3698
Sc2 Sc 0.1819 0.7379 0.1271
Tl1 Tl 0.4992 0.3689 0.1310
Ag1 Ag 0.1643 0.2015 0.6272
Ag2 Ag 0.1666 0.9629 0.8682
Ag3 Ag 0.4845 0.8662 0.6033